No. 1
Material: LaHg4As
Method: DFT, PBE-GGA
State: optimized geometry

Values from the calculation:
ΔE_f: -109.8 meV per atom
magnetization: 0.000 μB/cell

CIF file:
```
data_LaHg4As
_cell_length_a 6.0363
_cell_length_b 6.0363
_cell_length_c 6.0363
_cell_angle_alpha 60.00
_cell_angle_beta 60.00
_cell_angle_gamma 60.00
_symmetry_space_group_name_H-M 'P 1'
_symmetry_Int_Tables_number 1
loop_
_symmetry_equiv_pos_as_xyz
'x,y,z'
loop_
_atom_site_label
_atom_site_type_symbol
_atom_site_fract_x
_atom_site_fract_y
_atom_site_fract_z
La1 La 0.0000 0.0000 0.0000
Hg1 Hg 0.3757 0.3757 0.3757
Hg2 Hg 0.3757 0.3757 0.8729
Hg3 Hg 0.3757 0.8729 0.3757
Hg4 Hg 0.8729 0.3757 0.3757
As1 As 0.7500 0.7500 0.7500
```

=====

No. 2
Material: Ba2TeRuC
Method: DFT, PBE-GGA
State: optimized geometry

Values from the calculation:
electronic total energy: -5.3574 eV/atom
magnetization: 1.169 μB/cell

CIF file:
```
data_Ba2TeRuC
_cell_length_a 5.9980
_cell_length_b 5.9980
_cell_length_c 3.9703
_cell_angle_alpha 90.00
_cell_angle_beta 90.00
_cell_angle_gamma 90.00
_symmetry_space_group_name_H-M 'P 1'
_symmetry_Int_Tables_number 1
loop_
_symmetry_equiv_pos_as_xyz
'x,y,z'
loop_
_atom_site_label
_atom_site_type_symbol
_atom_site_fract_x
_atom_site_fract_y
_atom_site_fract_z
Ba1 Ba 0.0000 0.5000 0.0000
Ba2 Ba 0.5000 0.0000 0.0000
Te1 Te 0.0000 0.0000 0.5000
Ru1 Ru 0.5000 0.5000 0.5000
C1 C 0.5000 0.5000 0.0000
```

=====

No. 3
Material: AlCoTe2N
Method: DFT, PBE-GGA
State: optimized geometry

Values from the calculation:
polymorph energy (0 for the lowest one): 0.00 kcal/mol of atoms
magnetization: 0.000 μB/cell

CIF file:
```
data_AlCoTe2N
_cell_length_a 5.3411
_cell_length_b 5.3411
_cell_length_c 3.4115
_cell_angle_alpha 90.00
_cell_angle_beta 90.00
_cell_angle_gamma 90.00
_symmetry_space_group_name_H-M 'P 1'
_symmetry_Int_Tables_number 1
loop_
_symmetry_equiv_pos_as_xyz
'x,y,z'
loop_
_atom_site_label
_atom_site_type_symbol
_atom_site_fract_x
_atom_site_fract_y
_atom_site_fract_z
Al1 Al 0.0000 0.0000 0.0000
Co1 Co 0.5000 0.5000 0.5000
Te1 Te 0.0000 0.5000 0.5000
Te2 Te 0.5000 0.0000 0.5000
N1 N 0.5000 0.5000 0.0000
```